1.
Entry from Alexandria via LeMat-Bulk: crystalline NdZnAs2Rh5 at its relaxed geometry (PBE-GGA).

Values from the calculation:
For the formation energy, the calculation gives -0.40 eV per atom. As for the total magnetization: 0.00 μB/cell. The volume comes out at 19.059 A^3/atom.

The structure in POSCAR format:
```
NdZnAs2Rh5
1.0
-0.5762 -2.3133 3.3569
3.8863 0.7123 1.1580
-3.0263 8.1854 5.1211
Nd Zn As Rh
1 1 2 5
Direct
0.0000 0.0000 0.5000
0.0000 0.0000 0.0000
0.5000 0.5000 0.2661
0.5000 0.5000 0.7339
0.0000 0.5000 0.1491
0.5000 0.0000 0.1491
0.0000 0.5000 0.8509
0.5000 0.0000 0.8509
0.5000 0.5000 0.5000
```

***

2.
Entry from Alexandria via LeMat-Bulk: crystalline Nd2ZnAs3Rh4 at its relaxed geometry (PBE-GGA).

Values from the calculation:
For the formation energy, the calculation gives -0.88 eV per atom. As for the total magnetization: 0.00 μB/cell. The volume comes out at 18.316 A^3/atom.

The structure in POSCAR format:
```
Nd2ZnAs3Rh4
1.0
-0.9497 -0.3226 4.1113
-1.7773 -3.7750 -0.7068
8.9935 -4.5560 1.7200
Nd Zn As Rh
2 1 3 4
Direct
0.5000 0.0000 0.2532
0.0000 0.5000 0.7468
0.5000 0.5000 0.5000
0.0000 0.0000 0.5000
0.5000 0.0000 0.8640
0.0000 0.5000 0.1360
0.5000 0.5000 0.0000
0.0000 0.0000 0.0000
0.5000 0.0000 0.6287
0.0000 0.5000 0.3713
```

***

3.
Entry from Alexandria via LeMat-Bulk: crystalline NdAs3Ru3 at its relaxed geometry (PBE-GGA).

Values from the calculation:
The energy above the lowest structure with this stoichiometry comes out at 0.000 eV/atom. For the formation energy, the calculation gives -0.43 eV per atom. As for the total magnetization: 0.00 μB/cell. The volume comes out at 20.389 A^3/atom.

The structure in POSCAR format:
```
NdAs3Ru3
1.0
-2.0867 -1.7114 -6.3935
4.6504 -1.9880 -4.7520
0.1034 -7.7392 -1.7285
Nd As Ru
2 6 6
Direct
0.3327 0.3327 0.0020
0.6673 0.6673 0.9980
0.2167 0.6121 0.2709
0.9003 0.2167 0.2709
0.6121 0.9003 0.2709
0.3879 0.0997 0.7291
0.0997 0.7833 0.7291
0.7833 0.3879 0.7291
0.4850 0.7719 0.6320
0.7719 0.1112 0.6320
0.1112 0.4850 0.6320
0.8888 0.5150 0.3680
0.2281 0.8888 0.3680
0.5150 0.2281 0.3680
```

***

4.
Entry from Alexandria via LeMat-Bulk: crystalline NdAs3Ru5 at its relaxed geometry (PBE-GGA).

Values from the calculation:
For the formation energy, the calculation gives -0.31 eV per atom. As for the total magnetization: 0.00 μB/cell. The volume comes out at 17.322 A^3/atom.

The structure in POSCAR format:
```
NdAs3Ru5
1.0
-3.9307 0.1715 -0.7472
0.9031 -4.3340 4.9865
-1.1452 9.0951 8.1126
Nd As Ru
2 6 10
Direct
0.8298 0.6596 0.7500
0.1702 0.3404 0.2500
0.3835 0.7670 0.9516
0.8747 0.7495 0.2500
0.3835 0.7670 0.5484
0.6165 0.2330 0.4516
0.1253 0.2505 0.7500
0.6165 0.2330 0.0484
0.8000 0.6000 0.4292
0.2000 0.4000 0.9292
0.0000 0.0000 0.5000
0.0000 0.0000 0.0000
0.4454 0.8907 0.1473
0.5546 0.1093 0.8527
0.5546 0.1093 0.6473
0.8000 0.6000 0.0708
0.2000 0.4000 0.5708
0.4454 0.8907 0.3527
```

***

5.
Entry from Alexandria via LeMat-Bulk: crystalline Nd2As7Ru12 at its relaxed geometry (PBE-GGA).

Values from the calculation:
For the formation energy, the calculation gives -0.42 eV per atom. As for the total magnetization: 0.00 μB/cell. The volume comes out at 16.048 A^3/atom.

The structure in POSCAR format:
```
Nd2As7Ru12
1.0
4.0491 0.0000 0.0000
0.0000 8.4900 -4.9017
0.0000 0.0000 9.8034
Nd As Ru
2 7 12
Direct
0.5000 0.0000 0.0000
0.0000 0.6667 0.3333
0.0000 0.3333 0.6667
0.0000 0.0310 0.7814
0.0000 0.7504 0.9690
0.0000 0.2186 0.2496
0.5000 0.6206 0.5541
0.5000 0.9335 0.3794
0.5000 0.4459 0.0665
0.5000 0.8963 0.6160
0.5000 0.7197 0.1037
0.5000 0.3840 0.2803
0.5000 0.2399 0.7829
0.5000 0.5430 0.7601
0.5000 0.2171 0.4570
0.0000 0.0597 0.5511
0.0000 0.4914 0.9403
0.0000 0.4489 0.5086
0.0000 0.7582 0.7267
0.0000 0.9685 0.2418
0.0000 0.2733 0.0315
```

***

6.
Entry from Alexandria via LeMat-Bulk: crystalline NdAs3Ru3 at its relaxed geometry (PBE-GGA).

Values from the calculation:
The energy above the lowest structure with this stoichiometry comes out at 0.332 eV/atom. For the formation energy, the calculation gives -0.10 eV per atom. As for the total magnetization: 0.00 μB/cell. The volume comes out at 21.430 A^3/atom.

The structure in POSCAR format:
```
NdAs3Ru3
1.0
-3.0924 -5.8923 -0.7303
4.9437 -2.0993 -3.9961
3.2883 -2.3852 5.3210
Ru As Nd
6 6 2
Direct
0.2500 0.0000 0.5000
0.0000 0.5000 0.2500
0.5000 0.7500 0.0000
0.7500 0.0000 0.5000
0.0000 0.5000 0.7500
0.5000 0.2500 0.0000
0.0000 0.2500 0.5000
0.0000 0.7500 0.5000
0.5000 0.0000 0.7500
0.7500 0.5000 0.0000
0.5000 0.0000 0.2500
0.2500 0.5000 0.0000
0.5000 0.5000 0.5000
0.0000 0.0000 0.0000
```